A plane-wave DFT calculation with PBE-GGA was carried out for a geometry-optimized La2HoZn3Ir2Pt structure. Values from VASP.

Computed properties:
- Total energy: -48.7 eV/cell
- Calculated density: 10.9 g/cm3
- ΔE_f: -72.44 kJ per mole of atoms

Geometry as Quantum ESPRESSO input:
```
&SYSTEM
  ibrav = 0, nat = 9, ntyp = 5
/
ATOMIC_SPECIES
La 138.91 La.upf
Ir 192.22 Ir.upf
Ho 164.93 Ho.upf
Zn 65.41 Zn.upf
Pt 195.08 Pt.upf
ATOMIC_POSITIONS crystal
La 0.000 0.417 0.001
La 0.000 0.001 0.417
Ir 0.500 0.341 0.660
Ho 0.000 0.591 0.591
Zn 0.500 0.755 0.991
Pt 0.000 0.994 0.994
Zn 0.500 0.250 0.250
Ir 0.500 0.660 0.341
Zn 0.500 0.991 0.755
CELL_PARAMETERS angstrom
-3.321 -2.130 -0.645
-1.132 -0.424 7.233
-2.813 5.557 -3.872
```


A plane-wave DFT calculation with PBE-GGA was carried out for a geometry-optimized LiHoIr structure. Values from VASP.

Computed properties:
- Total energy: -15.9 eV/cell
- Calculated density: 11.1 g/cm3

Geometry as Quantum ESPRESSO input:
```
&SYSTEM
  ibrav = 0, nat = 3, ntyp = 3
/
ATOMIC_SPECIES
Ir 192.22 Ir.upf
Li 6.94 Li.upf
Ho 164.93 Ho.upf
ATOMIC_POSITIONS crystal
Ir 0.500 0.500 0.500
Li 0.750 0.750 0.750
Ho 0.000 0.000 0.000
CELL_PARAMETERS angstrom
0.000 3.011 3.011
3.011 0.000 3.011
3.011 3.011 0.000
```


A plane-wave DFT calculation with PBE-GGA was carried out for a geometry-optimized HoLuIr structure. Values from VASP.

Computed properties:
- Total energy: -81.0 eV/cell
- Offset from the most stable computed form: 0.033 eV per atom
- Calculated density: 12.6 g/cm3
- ΔE_f: -73.67 kJ per mole of atoms

Geometry as Quantum ESPRESSO input:
```
&SYSTEM
  ibrav = 0, nat = 12, ntyp = 3
/
ATOMIC_SPECIES
Ho 164.93 Ho.upf
Ir 192.22 Ir.upf
Lu 174.97 Lu.upf
ATOMIC_POSITIONS crystal
Ho 0.143 0.250 0.919
Ir 0.741 0.250 0.906
Ho 0.357 0.750 0.419
Lu 0.509 0.250 0.162
Ho 0.857 0.750 0.081
Ir 0.759 0.750 0.406
Ho 0.643 0.250 0.581
Lu 0.491 0.750 0.838
Lu 0.991 0.750 0.662
Ir 0.241 0.250 0.594
Ir 0.259 0.750 0.094
Lu 0.009 0.250 0.338
CELL_PARAMETERS angstrom
-6.336 -2.872 -1.538
1.885 -2.308 -3.455
1.698 -6.605 5.338
```


A plane-wave DFT calculation with PBE-GGA was carried out for a geometry-optimized HoLuIr structure. Values from VASP.

Computed properties:
- Total energy: -81.4 eV/cell
- Offset from the most stable computed form: 0.000 eV per atom
- Calculated density: 12.6 g/cm3
- ΔE_f: -76.82 kJ per mole of atoms

Geometry as Quantum ESPRESSO input:
```
&SYSTEM
  ibrav = 0, nat = 12, ntyp = 3
/
ATOMIC_SPECIES
Ir 192.22 Ir.upf
Lu 174.97 Lu.upf
Ho 164.93 Ho.upf
ATOMIC_POSITIONS crystal
Ir 0.754 0.750 0.094
Lu 0.858 0.750 0.422
Ho 0.490 0.750 0.665
Ho 0.510 0.250 0.335
Ho 0.010 0.250 0.165
Ir 0.246 0.250 0.906
Lu 0.142 0.250 0.578
Lu 0.358 0.750 0.078
Lu 0.642 0.250 0.922
Ho 0.990 0.750 0.835
Ir 0.746 0.250 0.594
Ir 0.254 0.750 0.406
CELL_PARAMETERS angstrom
-5.671 2.393 -3.641
-0.771 -4.170 -1.540
-5.069 -1.593 6.849
```


A plane-wave DFT calculation with PBE-GGA was carried out for a geometry-optimized HoLuIr structure. Values from VASP.

Computed properties:
- Total energy: -17.5 eV/cell
- Offset from the most stable computed form: 0.936 eV per atom
- Calculated density: 12.4 g/cm3
- ΔE_f: 13.46 kJ per mole of atoms

Geometry as Quantum ESPRESSO input:
```
&SYSTEM
  ibrav = 0, nat = 3, ntyp = 3
/
ATOMIC_SPECIES
Ho 164.93 Ho.upf
Ir 192.22 Ir.upf
Lu 174.97 Lu.upf
ATOMIC_POSITIONS crystal
Ho 0.250 0.250 0.250
Ir 0.750 0.750 0.750
Lu 0.000 0.000 0.000
CELL_PARAMETERS angstrom
-3.961 -0.748 2.335
-3.168 3.397 0.361
-4.036 -0.325 -2.304
```


A plane-wave DFT calculation with PBE-GGA was carried out for a geometry-optimized Ho3Lu4Te2Ir2 structure. Values from VASP.

Computed properties:
- Total energy: -66.2 eV/cell
- Calculated density: 10.8 g/cm3

Geometry as Quantum ESPRESSO input:
```
&SYSTEM
  ibrav = 0, nat = 11, ntyp = 4
/
ATOMIC_SPECIES
Ho 164.93 Ho.upf
Lu 174.97 Lu.upf
Ir 192.22 Ir.upf
Te 127.60 Te.upf
ATOMIC_POSITIONS crystal
Ho 0.183 0.683 0.500
Lu 0.560 0.413 0.147
Ho 0.633 0.265 0.368
Ir 0.018 0.755 0.263
Lu 0.240 0.054 0.186
Te 0.518 0.018 0.500
Te 0.919 0.919 0.000
Lu 0.869 0.054 0.814
Lu 0.266 0.413 0.853
Ho 0.897 0.265 0.632
Ir 0.491 0.755 0.737
CELL_PARAMETERS angstrom
1.995 -3.375 8.390
6.866 3.034 -5.423
-6.938 0.808 6.080
```


Which formula does entry 3 have?
HoLuIr